Record 1
The following is a PBE-GGA calculation of crystalline PuTlH3 at its relaxed geometry, from the Alexandria database.

The structure in POSCAR format:
```
PuTlH3
1.0
4.207 0.000 0.000
0.000 4.207 0.000
0.000 0.000 4.207
Pu Tl H
1 1 3
Cartesian
0.000 0.000 0.000 Pu
2.104 2.104 2.104 Tl
0.000 0.000 2.104 H
0.000 2.104 0.000 H
2.104 0.000 0.000 H
```

Values from the calculation:
total moment	5.40	Bohr magnetons per cell
DFT total energy	-26.705	eV/cell
density	10064	kg/m³



Record 2
The following is a PBE-GGA calculation of crystalline Pu2TlH at its relaxed geometry, from the Alexandria database.

The structure in POSCAR format:
```
Pu2TlH
1.0
1.757 1.014 6.730
-1.757 1.014 6.730
0.000 -2.028 6.730
Pu Tl H
2 1 1
Cartesian
0.000 0.000 0.000 Pu
0.000 0.000 5.433 Pu
0.000 0.000 9.561 Tl
0.000 0.000 14.379 H
```

Values from the calculation:
total moment	0.71	Bohr magnetons per cell
DFT total energy	-34.394	eV/cell
ΔE to the lowest computed polymorph	0.0	meV per atom
density	16004	kg/m³



Record 3
The following is a PBE-GGA calculation of crystalline PuTlH2 at its relaxed geometry, from the Alexandria database.

The structure in POSCAR format:
```
PuTlH2
1.0
1.860 1.074 5.276
-1.860 1.074 5.276
0.000 -2.148 5.276
Pu Tl H
1 1 2
Cartesian
0.000 0.000 0.000 Pu
0.000 0.000 7.914 Tl
0.000 0.000 4.766 H
0.000 0.000 11.062 H
```

Values from the calculation:
total moment	5.21	Bohr magnetons per cell
DFT total energy	-23.919	eV/cell
density	11831	kg/m³



Record 4
The following is a PBE-GGA calculation of crystalline Pu3Tl5H12 at its relaxed geometry, from the Alexandria database.

The structure in POSCAR format:
```
Pu3Tl5H12
1.0
-6.584 6.584 6.584
6.584 -6.584 6.584
6.584 6.584 -6.584
Pu Tl H
12 20 48
Cartesian
3.292 1.646 0.000 Pu
6.584 3.292 -1.646 Pu
1.646 0.000 3.292 Pu
8.230 0.000 3.292 Pu
0.000 3.292 1.646 Pu
3.292 -1.646 6.584 Pu
3.292 8.230 0.000 Pu
6.584 3.292 4.938 Pu
-1.646 6.584 3.292 Pu
4.938 6.584 3.292 Pu
0.000 3.292 8.230 Pu
3.292 4.938 6.584 Pu
0.000 0.000 0.000 Tl
3.292 3.292 -3.292 Tl
3.292 -3.292 3.292 Tl
6.584 0.000 0.000 Tl
9.877 1.646 0.000 Tl
6.584 -3.292 4.938 Tl
4.938 6.584 -3.292 Tl
4.938 0.000 3.292 Tl
3.292 4.938 0.000 Tl
6.584 3.292 1.646 Tl
-3.292 3.292 3.292 Tl
0.000 6.584 0.000 Tl
0.000 0.000 6.584 Tl
3.292 3.292 3.292 Tl
0.000 3.292 4.938 Tl
3.292 1.646 6.584 Tl
1.646 6.584 3.292 Tl
1.646 0.000 9.877 Tl
0.000 9.877 1.646 Tl
-3.292 4.938 6.584 Tl
6.637 -1.136 2.174 H
9.824 -1.118 2.157 H
8.759 -0.053 1.136 H
7.702 -2.157 3.239 H
2.174 0.053 1.136 H
7.702 4.428 -3.239 H
4.428 3.239 -1.118 H
5.449 2.174 -0.053 H
1.136 2.174 0.053 H
8.741 3.345 -1.118 H
6.637 5.449 -2.174 H
3.239 1.118 2.157 H
0.053 1.136 2.174 H
3.239 -1.118 4.428 H
2.157 3.239 1.118 H
7.720 4.410 -0.053 H
5.449 -2.174 6.637 H
4.428 -3.239 7.702 H
1.118 2.157 3.239 H
2.174 -0.053 5.449 H
2.174 6.637 -1.136 H
7.702 2.157 3.345 H
3.239 7.702 -2.157 H
6.637 1.136 4.410 H
-0.053 5.449 2.174 H
3.345 -1.118 8.741 H
-1.118 4.428 3.239 H
4.410 -0.053 7.720 H
4.410 6.637 1.136 H
5.467 4.428 3.345 H
2.157 9.824 -1.118 H
1.136 8.759 -0.053 H
-1.136 2.174 6.637 H
4.428 3.345 5.467 H
3.345 7.702 2.157 H
6.532 5.449 4.410 H
3.345 5.467 4.428 H
-0.053 1.136 8.759 H
-2.157 3.239 7.702 H
5.449 4.410 6.532 H
1.136 4.410 6.637 H
2.157 3.345 7.702 H
-1.118 2.157 9.824 H
4.410 6.532 5.449 H
-1.118 8.741 3.345 H
-2.174 6.637 5.449 H
-3.239 7.702 4.428 H
-0.053 7.720 4.410 H
```

Values from the calculation:
total moment	64.74	Bohr magnetons per cell
DFT total energy	-368.775	eV/cell
density	10273	kg/m³



Record 5
The following is a PBE-GGA calculation of crystalline Pu3TlH at its relaxed geometry, from the Alexandria database.

The structure in POSCAR format:
```
Pu3TlH
1.0
4.820 0.000 0.000
0.000 4.820 0.000
0.000 0.000 4.820
Pu Tl H
3 1 1
Cartesian
0.000 0.000 2.410 Pu
0.000 2.410 0.000 Pu
2.410 0.000 0.000 Pu
2.410 2.410 2.410 Tl
0.000 0.000 0.000 H
```

Values from the calculation:
total moment	18.21	Bohr magnetons per cell
DFT total energy	-49.153	eV/cell
density	13902	kg/m³



Record 6
The following is a PBE-GGA calculation of crystalline Pu2TlH at its relaxed geometry, from the Alexandria database.

The structure in POSCAR format:
```
Pu2TlH
1.0
3.194 0.000 0.000
0.000 3.194 0.000
0.000 0.000 8.062
Pu Tl H
2 1 1
Cartesian
0.000 0.000 1.564 Pu
0.000 0.000 6.499 Pu
1.597 1.597 4.031 Tl
1.597 1.597 0.000 H
```

Values from the calculation:
total moment	12.30	Bohr magnetons per cell
DFT total energy	-34.184	eV/cell
ΔE to the lowest computed polymorph	52.4	meV per atom
density	13997	kg/m³



Record 7
The following is a PBE-GGA calculation of crystalline Pu2TlH at its relaxed geometry, from the Alexandria database.

The structure in POSCAR format:
```
Pu2TlH
1.0
1.868 1.078 5.952
-1.868 1.078 5.952
0.000 -2.156 5.952
Pu Tl H
2 1 1
Cartesian
0.000 0.000 3.507 Pu
0.000 0.000 14.351 Pu
0.000 0.000 0.000 Tl
0.000 0.000 8.929 H
```

Values from the calculation:
total moment	0.00	Bohr magnetons per cell
DFT total energy	-33.346	eV/cell
ΔE to the lowest computed polymorph	262.1	meV per atom
density	16010	kg/m³



Record 8
The following is a PBE-GGA calculation of crystalline Pu6Tl2H at its relaxed geometry, from the Alexandria database.

The structure in POSCAR format:
```
Pu6Tl2H
1.0
0.000 4.774 4.774
4.774 0.000 4.774
4.774 4.774 0.000
Pu Tl H
6 2 1
Cartesian
4.774 4.774 2.372 Pu
4.774 2.372 4.774 Pu
7.177 4.774 4.774 Pu
2.372 4.774 4.774 Pu
4.774 7.177 4.774 Pu
4.774 4.774 7.177 Pu
2.387 2.387 2.387 Tl
7.162 7.162 7.162 Tl
4.774 4.774 4.774 H
```

Values from the calculation:
total moment	35.47	Bohr magnetons per cell
DFT total energy	-94.102	eV/cell
density	14295	kg/m³



Record 9
The following is a PBE-GGA calculation of crystalline TmPu2H6 at its relaxed geometry, from the Alexandria database.

The structure in POSCAR format:
```
TmPu2H6
1.0
-1.830 2.621 5.545
1.830 -2.621 5.545
1.830 2.621 -5.545
Tm Pu H
1 2 6
Cartesian
0.000 0.000 0.000 Tm
0.000 0.000 3.724 Pu
0.000 0.000 7.366 Pu
1.830 -1.367 3.737 H
1.830 1.239 0.000 H
0.000 1.254 1.808 H
1.830 1.367 3.737 H
0.000 1.383 5.545 H
0.000 3.988 1.808 H
```

Values from the calculation:
total moment	10.99	Bohr magnetons per cell
DFT total energy	-57.543	eV/cell
density	10345	kg/m³



Record 10
The following is a PBE-GGA calculation of crystalline TmPuH2 at its relaxed geometry, from the Alexandria database.

The structure in POSCAR format:
```
TmPuH2
1.0
1.701 0.982 5.681
-1.701 0.982 5.681
0.000 -1.964 5.681
Tm Pu H
1 1 2
Cartesian
0.000 0.000 0.000 Tm
0.000 0.000 8.521 Pu
0.000 0.000 4.421 H
0.000 0.000 12.621 H
```

Values from the calculation:
total moment	5.81	Bohr magnetons per cell
DFT total energy	-26.654	eV/cell
density	12100	kg/m³



Record 11
The following is a PBE-GGA calculation of crystalline Tm5Pu3H12 at its relaxed geometry, from the Alexandria database.

The structure in POSCAR format:
```
Tm5Pu3H12
1.0
-6.435 6.435 6.435
6.435 -6.435 6.435
6.435 6.435 -6.435
Tm Pu H
20 12 48
Cartesian
0.000 0.000 0.000 Tm
3.217 3.217 -3.217 Tm
3.217 -3.217 3.217 Tm
6.435 0.000 0.000 Tm
9.652 1.609 0.000 Tm
6.435 -3.217 4.826 Tm
4.826 6.435 -3.217 Tm
4.826 0.000 3.217 Tm
3.217 4.826 0.000 Tm
6.435 3.217 1.609 Tm
-3.217 3.217 3.217 Tm
0.000 6.435 0.000 Tm
0.000 0.000 6.435 Tm
3.217 3.217 3.217 Tm
0.000 3.217 4.826 Tm
3.217 1.609 6.435 Tm
1.609 6.435 3.217 Tm
1.609 0.000 9.652 Tm
0.000 9.652 1.609 Tm
-3.217 4.826 6.435 Tm
3.217 1.609 0.000 Pu
6.435 3.217 -1.609 Pu
1.609 0.000 3.217 Pu
8.043 0.000 3.217 Pu
0.000 3.217 1.609 Pu
3.217 -1.609 6.435 Pu
3.217 8.043 0.000 Pu
6.435 3.217 4.826 Pu
-1.609 6.435 3.217 Pu
4.826 6.435 3.217 Pu
0.000 3.217 8.043 Pu
3.217 4.826 6.435 Pu
1.977 -0.092 0.907 H
7.675 4.124 -3.310 H
8.411 0.092 0.907 H
7.675 -2.310 3.310 H
6.342 -0.907 1.977 H
9.744 -1.241 2.310 H
0.907 1.977 -0.092 H
8.745 3.125 -1.241 H
4.124 3.310 -1.241 H
5.528 1.977 0.092 H
-0.092 0.907 1.977 H
3.310 -1.241 4.124 H
6.342 5.528 -1.977 H
3.310 1.241 2.310 H
4.124 -3.310 7.675 H
5.528 -1.977 6.342 H
2.310 3.310 1.241 H
7.341 4.458 0.092 H
3.310 7.675 -2.310 H
6.342 0.907 4.458 H
1.977 6.342 -0.907 H
7.675 2.310 3.125 H
1.241 2.310 3.310 H
1.977 0.092 5.528 H
4.458 6.342 0.907 H
5.194 4.124 3.125 H
-1.241 4.124 3.310 H
4.458 0.092 7.341 H
0.092 5.528 1.977 H
3.125 -1.241 8.745 H
-0.907 1.977 6.342 H
4.124 3.125 5.194 H
0.907 8.411 0.092 H
2.310 9.744 -1.241 H
3.125 5.194 4.124 H
0.092 0.907 8.411 H
3.125 7.675 2.310 H
6.527 5.528 4.458 H
0.907 4.458 6.342 H
2.310 3.125 7.675 H
-2.310 3.310 7.675 H
5.528 4.458 6.527 H
-3.310 7.675 4.124 H
0.092 7.341 4.458 H
-1.241 8.745 3.125 H
-1.977 6.342 5.528 H
-1.241 2.310 9.744 H
4.458 6.527 5.528 H
```

Values from the calculation:
total moment	69.77	Bohr magnetons per cell
DFT total energy	-451.795	eV/cell
density	9902	kg/m³



Record 12
The following is a PBE-GGA calculation of crystalline Tm2PuH at its relaxed geometry, from the Alexandria database.

The structure in POSCAR format:
```
Tm2PuH
1.0
3.219 0.000 0.000
0.000 3.219 0.000
0.000 0.000 8.356
Tm Pu H
2 1 1
Cartesian
0.000 0.000 1.636 Tm
0.000 0.000 6.721 Tm
1.609 1.609 4.178 Pu
1.609 1.609 0.000 H
```

Values from the calculation:
total moment	5.87	Bohr magnetons per cell
DFT total energy	-25.948	eV/cell
ΔE to the lowest computed polymorph	92.0	meV per atom
density	11178	kg/m³